Arrangement A

Material: MgCo6O2F10
Method: DFT, PBE with a Hubbard U
State: optimized geometry

Cell and atoms, written as POSCAR:
```
MgCo6O2F10
1.0
5.247 0.000 0.000
1.423 5.357 0.000
1.074 2.103 10.048
Mg Co O F
1 6 2 10
Direct
0.000 0.000 0.000
0.054 0.367 0.655
0.487 0.185 0.210
0.509 0.838 0.769
0.592 0.174 0.477
0.978 0.677 0.364
0.993 0.506 0.997
0.379 0.120 0.634
0.693 0.971 0.346
0.096 0.696 0.539
0.104 0.279 0.863
0.194 0.155 0.113
0.273 0.729 0.932
0.345 0.453 0.322
0.684 0.521 0.715
0.710 0.287 0.046
0.775 0.854 0.899
0.878 0.352 0.474
0.948 0.705 0.144
```

Output
- density (Mg/m³) = 3.53

Arrangement B

Material: MgCo6O2F10
Method: DFT, PBE with a Hubbard U
State: optimized geometry

Cell and atoms, written as POSCAR:
```
MgCo6O2F10
1.0
5.263 0.000 0.000
-1.050 5.161 0.000
-0.029 -0.163 9.163
Mg Co O F
1 6 2 10
Direct
0.000 0.000 0.000
0.006 0.412 0.495
0.382 0.937 0.349
0.438 0.977 0.673
0.507 0.991 0.999
0.881 0.487 0.187
0.932 0.487 0.837
0.128 0.622 0.331
0.805 0.285 0.002
0.152 0.652 0.677
0.170 0.694 0.985
0.227 0.138 0.519
0.272 0.103 0.153
0.275 0.130 0.846
0.583 0.816 0.515
0.697 0.246 0.344
0.721 0.816 0.848
0.726 0.810 0.139
0.748 0.278 0.674
```

Output
- density (Mg/m³) = 4.00

Arrangement C

Material: MgCo6O2F10
Method: DFT, PBE with a Hubbard U
State: optimized geometry

Cell and atoms, written as POSCAR:
```
MgCo6O2F10
1.0
4.928 0.000 0.000
-0.148 5.007 0.000
-0.135 -0.336 9.247
Mg Co O F
1 6 2 10
Direct
0.000 0.000 0.000
0.000 0.500 0.000
0.018 0.510 0.672
0.468 0.954 0.820
0.500 0.000 0.500
0.532 0.046 0.180
0.982 0.490 0.328
0.140 0.725 0.849
0.860 0.275 0.151
0.169 0.775 0.157
0.176 0.710 0.494
0.319 0.207 0.668
0.330 0.228 0.342
0.337 0.214 0.994
0.663 0.786 0.006
0.670 0.772 0.658
0.681 0.793 0.332
0.824 0.290 0.506
0.831 0.225 0.843
```

Output
- density (Mg/m³) = 4.37

List of relative energies, unit kJ/mol of atoms: arrangement A 2.5; arrangement B 10.3; arrangement C 0.0